Record 1
# V3Ir6Rh

A relaxed V3Ir6Rh crystal (PBE-GGA, Alexandria).

Energy of formation   -432 meV/atom

Cell: 7.2620 4.3461 9.4705 Å, 90.00 109.49 90.00°
Space group P2_1/m (No. 11)
Asymmetric unit:
V 0.0881 0.2500 0.2328 x2
V 0.2997 0.2500 0.0306 x2
V 0.3087 0.7500 0.3694 x2
Ir 0.0963 0.2500 0.7347 x2
Ir 0.1077 0.7500 0.0712 x2
Ir 0.2988 0.2500 0.5301 x2
Ir 0.2999 0.7500 0.8686 x2
Ir 0.4917 0.2500 0.3293 x2
Ir 0.4987 0.7500 0.1660 x2
Rh 0.1003 0.7500 0.5686 x2



Record 2
# V3Ir2Rh2

A relaxed V3Ir2Rh2 crystal (PBE-GGA, Alexandria).

Energy of formation   -322 meV/atom
Relative energy among the computed polymorphs   0 meV/atom

Cell: 11.5703 2.7421 6.6605 Å, 90.00 111.70 90.00°
Space group C2/m (No. 12)
Asymmetric unit:
V 0.0000 0.0000 0.0000 x2
V 0.2122 0.5000 0.1584 x4
Ir 0.0821 0.5000 0.7459 x4
Rh 0.1382 0.0000 0.4221 x4



> What is the energy of formation in the second record?

-322 meV/atom